# GGA-PBE Ce2Be4Pt5, relaxed
# * formation energy from the elements: -0.85 eV/atom
# * electronic total energy: -6.029 eV per atom
data_Ce2Be4Pt5
_symmetry_space_group_name_H-M 'F m m m'
_symmetry_Int_Tables_number 69
_symmetry_space_group_name_Hall '-F 2 2'
_cell_length_a 5.536
_cell_length_b 9.441
_cell_length_c 13.633
_cell_angle_alpha 90.00
_cell_angle_beta 90.00
_cell_angle_gamma 90.00
loop_
_atom_site_label
_atom_site_type_symbol
_atom_site_fract_x
_atom_site_fract_y
_atom_site_fract_z
Ce1 Ce 0.000 0.000 0.133
Be1 Be 0.000 0.160 0.372
Pt1 Pt 0.000 0.000 0.500
Pt2 Pt 0.250 0.250 0.000
Pt3 Pt 0.250 0.250 0.250

# GGA-PBE PmDyEr4Tm2, relaxed
# * formation energy from the elements: 0.45 eV/atom
# * electronic total energy: -4.119 eV per atom
data_PmDyEr4Tm2
_symmetry_space_group_name_H-M 'C 1 2/c 1'
_symmetry_Int_Tables_number 15
_cell_length_a 13.472
_cell_length_b 13.217
_cell_length_c 6.732
_cell_angle_alpha 90.00
_cell_angle_beta 119.97
_cell_angle_gamma 90.00
loop_
_symmetry_equiv_pos_as_xyz
'x,y,z'
'-x,-y,-z'
'-x,y,-z+1/2'
'x,-y,z+1/2'
'x+1/2,y+1/2,z'
'-x+1/2,-y+1/2,-z'
'-x+1/2,y+1/2,-z+1/2'
'x+1/2,-y+1/2,z+1/2'
loop_
_atom_site_label
_atom_site_type_symbol
_atom_site_fract_x
_atom_site_fract_y
_atom_site_fract_z
Pm1 Pm 0.250 0.250 0.000
Dy1 Dy 0.000 0.000 0.000
Er1 Er 0.000 0.252 0.002
Er2 Er 0.248 0.497 0.497
Tm1 Tm 0.000 0.500 0.000
Tm2 Tm 0.250 0.250 0.500

# GGA-PBE La2AgRh2, relaxed
# * formation energy from the elements: -0.38 eV/atom
# * offset from the most stable computed form: 1.075 eV/f.u.
# * electronic total energy: -5.864 eV per atom
data_La2AgRh2
_symmetry_space_group_name_H-M 'I 4/m m m'
_symmetry_Int_Tables_number 139
_symmetry_space_group_name_Hall '-I 4 2'
_cell_length_a 4.020
_cell_length_b 4.020
_cell_length_c 15.668
_cell_angle_alpha 90.00
_cell_angle_beta 90.00
_cell_angle_gamma 90.00
loop_
_atom_site_label
_atom_site_type_symbol
_atom_site_fract_x
_atom_site_fract_y
_atom_site_fract_z
La1 La 0.000 0.000 0.125
Ag1 Ag 0.000 0.000 0.500
Rh1 Rh 0.000 0.500 0.250

# GGA-PBE Ce2NdHg3, relaxed
# * formation energy from the elements: -0.35 eV/atom
# * electronic total energy: -3.270 eV per atom
data_Ce2NdHg3
_symmetry_space_group_name_H-M 'P 4/m m m'
_symmetry_Int_Tables_number 123
_symmetry_space_group_name_Hall '-P 4 2'
_cell_length_a 3.815
_cell_length_b 3.815
_cell_length_c 11.600
_cell_angle_alpha 90.00
_cell_angle_beta 90.00
_cell_angle_gamma 90.00
loop_
_atom_site_label
_atom_site_type_symbol
_atom_site_fract_x
_atom_site_fract_y
_atom_site_fract_z
Ce1 Ce 0.000 0.000 0.166
Nd1 Nd 0.000 0.000 0.500
Hg1 Hg 0.500 0.500 0.000
Hg2 Hg 0.500 0.500 0.334

# GGA-PBE SrAcMg, relaxed
# * formation energy from the elements: 0.08 eV/atom
# * offset from the most stable computed form: 0.347 eV/f.u.
# * electronic total energy: -2.386 eV per atom
data_SrAcMg
_symmetry_space_group_name_H-M 'P 4/n m m'
_symmetry_Int_Tables_number 129
_cell_length_a 5.313
_cell_length_b 5.313
_cell_length_c 9.181
_cell_angle_alpha 90.00
_cell_angle_beta 90.00
_cell_angle_gamma 90.00
loop_
_symmetry_equiv_pos_as_xyz
'x,y,z'
'-x,-y,-z'
'-y+1/2,x,z'
'y+1/2,-x,-z'
'-x+1/2,-y+1/2,z'
'x+1/2,y+1/2,-z'
'y,-x+1/2,z'
'-y,x+1/2,-z'
'x+1/2,-y,-z'
'-x+1/2,y,z'
'-y,-x,-z'
'y,x,z'
'-x,y+1/2,-z'
'x,-y+1/2,z'
'y+1/2,x+1/2,-z'
'-y+1/2,-x+1/2,z'
loop_
_atom_site_label
_atom_site_type_symbol
_atom_site_fract_x
_atom_site_fract_y
_atom_site_fract_z
Sr1 Sr 0.250 0.250 0.148
Ac1 Ac 0.250 0.750 0.500
Mg1 Mg 0.250 0.250 0.754

# GGA-PBE Tb2Pr3Sn2, relaxed
# * formation energy from the elements: -0.30 eV/atom
# * electronic total energy: -4.812 eV per atom
data_Tb2Pr3Sn2
_symmetry_space_group_name_H-M 'C 1 2/m 1'
_symmetry_Int_Tables_number 12
_cell_length_a 17.589
_cell_length_b 3.540
_cell_length_c 7.980
_cell_angle_alpha 90.00
_cell_angle_beta 115.57
_cell_angle_gamma 90.00
loop_
_symmetry_equiv_pos_as_xyz
'x,y,z'
'-x,-y,-z'
'-x,y,-z'
'x,-y,z'
'x+1/2,y+1/2,z'
'-x+1/2,-y+1/2,-z'
'-x+1/2,y+1/2,-z'
'x+1/2,-y+1/2,z'
loop_
_atom_site_label
_atom_site_type_symbol
_atom_site_fract_x
_atom_site_fract_y
_atom_site_fract_z
Tb1 Tb 0.088 0.000 0.199
Pr1 Pr 0.000 0.000 0.500
Pr2 Pr 0.220 0.000 0.717
Sn1 Sn 0.101 0.500 0.883

# GGA-PBE Al7V5Mo, relaxed
# * formation energy from the elements: -0.08 eV/atom
# * electronic total energy: -6.433 eV per atom
data_Al7V5Mo
_symmetry_space_group_name_H-M 'I m m 2'
_symmetry_Int_Tables_number 44
_cell_length_a 5.140
_cell_length_b 8.700
_cell_length_c 8.947
_cell_angle_alpha 90.00
_cell_angle_beta 90.00
_cell_angle_gamma 90.00
loop_
_symmetry_equiv_pos_as_xyz
'x,y,z'
'-x,-y,z'
'-x,y,z'
'x,-y,z'
'x+1/2,y+1/2,z+1/2'
'-x+1/2,-y+1/2,z+1/2'
'-x+1/2,y+1/2,z+1/2'
'x+1/2,-y+1/2,z+1/2'
loop_
_atom_site_label
_atom_site_type_symbol
_atom_site_fract_x
_atom_site_fract_y
_atom_site_fract_z
Al1 Al 0.000 0.000 0.000
Al2 Al 0.000 0.000 0.352
Al3 Al 0.000 0.314 0.176
Al4 Al 0.000 0.323 0.675
Al5 Al 0.000 0.500 0.410
V1 V 0.000 0.500 0.937
V2 V 0.248 0.255 0.925
Mo1 Mo 0.000 0.000 0.681

# GGA-PBE ZnCr3Cd, relaxed
# * formation energy from the elements: 1.17 eV/atom
# * offset from the most stable computed form: 0.000 eV/f.u.
# * electronic total energy: -5.039 eV per atom
data_ZnCr3Cd
_symmetry_space_group_name_H-M 'P m -3 m'
_symmetry_Int_Tables_number 221
_symmetry_space_group_name_Hall '-P 4 2 3'
_cell_length_a 4.759
_cell_length_b 4.759
_cell_length_c 4.759
_cell_angle_alpha 90.00
_cell_angle_beta 90.00
_cell_angle_gamma 90.00
loop_
_atom_site_label
_atom_site_type_symbol
_atom_site_fract_x
_atom_site_fract_y
_atom_site_fract_z
Zn1 Zn 0.000 0.000 0.000
Cr1 Cr 0.000 0.000 0.500
Cd1 Cd 0.500 0.500 0.500

# GGA-PBE CdSeO2, relaxed
# * raw formation energy: 0.19 eV per atom
# * offset from the most stable computed form: 3.268 eV/f.u.
# * electronic total energy: -3.390 eV per atom
data_CdSeO2
_symmetry_space_group_name_H-M 'F m -3 m'
_symmetry_Int_Tables_number 225
_symmetry_space_group_name_Hall '-F 4 2 3'
_cell_length_a 5.927
_cell_length_b 5.927
_cell_length_c 5.927
_cell_angle_alpha 90.00
_cell_angle_beta 90.00
_cell_angle_gamma 90.00
loop_
_atom_site_label
_atom_site_type_symbol
_atom_site_fract_x
_atom_site_fract_y
_atom_site_fract_z
Cd1 Cd 0.000 0.000 0.000
Se1 Se 0.000 0.000 0.500
O1 O 0.250 0.250 0.250

# GGA-PBE K3Sn7Pt2, relaxed
# * formation energy from the elements: -0.14 eV/atom
# * electronic total energy: -3.753 eV per atom
data_K3Sn7Pt2
_symmetry_space_group_name_H-M 'C m m m'
_symmetry_Int_Tables_number 65
_symmetry_space_group_name_Hall '-C 2 2'
_cell_length_a 5.165
_cell_length_b 30.046
_cell_length_c 4.982
_cell_angle_alpha 90.00
_cell_angle_beta 90.00
_cell_angle_gamma 90.00
loop_
_atom_site_label
_atom_site_type_symbol
_atom_site_fract_x
_atom_site_fract_y
_atom_site_fract_z
K1 K 0.000 0.000 0.000
K2 K 0.000 0.208 0.000
Sn1 Sn 0.000 0.117 0.500
Sn2 Sn 0.000 0.318 0.500
Sn3 Sn 0.000 0.382 0.000
Sn4 Sn 0.000 0.500 0.500
Pt1 Pt 0.000 0.417 0.500

# GGA-PBE LaLuPuSn, relaxed
# * formation energy from the elements: -0.15 eV/atom
# * electronic total energy: -7.098 eV per atom
data_LaLuPuSn
_symmetry_space_group_name_H-M 'F -4 3 m'
_symmetry_Int_Tables_number 216
_symmetry_space_group_name_Hall 'F -4 2 3'
_cell_length_a 7.691
_cell_length_b 7.691
_cell_length_c 7.691
_cell_angle_alpha 90.00
_cell_angle_beta 90.00
_cell_angle_gamma 90.00
loop_
_atom_site_label
_atom_site_type_symbol
_atom_site_fract_x
_atom_site_fract_y
_atom_site_fract_z
La1 La 0.000 0.000 0.000
Lu1 Lu 0.000 0.000 0.500
Pu1 Pu 0.250 0.250 0.250
Sn1 Sn 0.250 0.250 0.750

# GGA-PBE Li2InRu2, relaxed
# * formation energy from the elements: 0.53 eV/atom
# * offset from the most stable computed form: 1.303 eV/f.u.
# * electronic total energy: -4.497 eV per atom
data_Li2InRu2
_symmetry_space_group_name_H-M 'I 4/m m m'
_symmetry_Int_Tables_number 139
_symmetry_space_group_name_Hall '-I 4 2'
_cell_length_a 3.523
_cell_length_b 3.523
_cell_length_c 13.205
_cell_angle_alpha 90.00
_cell_angle_beta 90.00
_cell_angle_gamma 90.00
loop_
_atom_site_label
_atom_site_type_symbol
_atom_site_fract_x
_atom_site_fract_y
_atom_site_fract_z
Li1 Li 0.000 0.500 0.250
In1 In 0.000 0.000 0.000
Ru1 Ru 0.000 0.000 0.404

Among the records above, which one has the lowest electronic total energy?
LaLuPuSn